Record 1
Material: NaLaEr
Method: DFT, GGA-PBE
State: optimized geometry

The structure in CIF format:
```
data_NaLaEr
_chemical_formula_sum 'Na2 La2 Er2'
_symmetry_space_group_name_H-M 'P 4/n m m'
_symmetry_Int_Tables_number 129
_cell_length_a 4.172
_cell_length_b 4.172
_cell_length_c 12.280
_cell_angle_alpha 90.00
_cell_angle_beta 90.00
_cell_angle_gamma 90.00
loop_
_symmetry_equiv_pos_as_xyz
'x,y,z'
'-x,-y,-z'
'-y+1/2,x,z'
'y+1/2,-x,-z'
'-x+1/2,-y+1/2,z'
'x+1/2,y+1/2,-z'
'y,-x+1/2,z'
'-y,x+1/2,-z'
'x+1/2,-y,-z'
'-x+1/2,y,z'
'-y,-x,-z'
'y,x,z'
'-x,y+1/2,-z'
'x,-y+1/2,z'
'y+1/2,x+1/2,-z'
'-y+1/2,-x+1/2,z'
loop_
_atom_site_label
_atom_site_fract_x
_atom_site_fract_y
_atom_site_fract_z
Na1 0.250 0.750 0.000
La1 0.250 0.250 0.263
Er1 0.250 0.250 0.567
```

Results
**Offset from the most stable computed form**: 83.0 meV/atom
**ΔE_f**: 0.24 eV per atom
**Raw total energy**: -3.36 eV per atom
**Magnetic moment**: 0.0 μB/cell
**D(E_F)**: 7.5 states/eV/cell

***

Record 2
Material: NaLa2Er
Method: DFT, GGA-PBE
State: optimized geometry

The structure in CIF format:
```
data_NaLa2Er
_chemical_formula_sum 'Na1 La2 Er1'
_symmetry_space_group_name_H-M 'P 4/m m m'
_symmetry_Int_Tables_number 123
_symmetry_space_group_name_Hall '-P 4 2'
_cell_length_a 3.570
_cell_length_b 3.570
_cell_length_c 11.179
_cell_angle_alpha 90.00
_cell_angle_beta 90.00
_cell_angle_gamma 90.00
loop_
_atom_site_label
_atom_site_fract_x
_atom_site_fract_y
_atom_site_fract_z
Na1 0.000 0.000 0.000
La1 0.500 0.500 0.270
Er1 0.000 0.000 0.500
```

Results
**Offset from the most stable computed form**: 0.0 meV/atom
**ΔE_f**: 0.10 eV per atom
**Raw total energy**: -3.83 eV per atom
**Magnetic moment**: 0.0 μB/cell
**D(E_F)**: 5.3 states/eV/cell

***

Record 3
Material: NaLaEr
Method: DFT, GGA-PBE
State: optimized geometry

The structure in CIF format:
```
data_NaLaEr
_chemical_formula_sum 'Na2 La2 Er2'
_symmetry_space_group_name_H-M 'I 4 m m'
_symmetry_Int_Tables_number 107
_symmetry_space_group_name_Hall 'I 4 -2'
_cell_length_a 3.579
_cell_length_b 3.579
_cell_length_c 16.416
_cell_angle_alpha 90.00
_cell_angle_beta 90.00
_cell_angle_gamma 90.00
loop_
_atom_site_label
_atom_site_fract_x
_atom_site_fract_y
_atom_site_fract_z
Na1 0.000 0.000 0.000
La1 0.000 0.000 0.681
Er1 0.000 0.000 0.331
```

Results
**Offset from the most stable computed form**: 0.0 meV/atom
**ΔE_f**: 0.16 eV per atom
**Raw total energy**: -3.44 eV per atom
**Magnetic moment**: 0.5 μB/cell
**D(E_F)**: 8.8 states/eV/cell

***

> Which of these has the highest magnetic moment?

number 3